This record from Alexandria describes a relaxed ZrAl2Ga crystal. The functional is PBE.

Values from the calculation:
ρ: 4.82 g/cm3
Symmetry: R-3m (166)
Electronic total energy: -4.860 eV/atom
Energy of formation: -95 meV/atom
N(E_F): 2.00 states/eV per cell

Geometry as POSCAR:
```
ZrAl2Ga
1.0
2.139 1.235 4.676
-2.139 1.235 4.676
0.000 -2.469 4.676
Zr Al Ga
1 2 1
direct
0.000 0.000 0.000
0.220 0.220 0.220
0.780 0.780 0.780
0.500 0.500 0.500
```